VASP calculation (PBE) on a relaxed structure of NaCo4Se8.

a b c (Å): 6.8400 6.8400 22.2802
angles (deg): 90.00 90.00 120.00
Space group R-3m (No. 166, hexagonal axes)
Symmetry-distinct sites (fractional):
Na1 0.0000 0.0000 0.0000 (multiplicity 3)
Co1 0.0000 0.0000 0.5000 (multiplicity 3)
Co2 0.0000 0.5000 0.5000 (multiplicity 9)
Se1 0.0000 0.0000 0.2265 (multiplicity 6)
Se2 0.0008 0.5004 0.7740 (multiplicity 18)

Computed properties:
- Formation energy from raw total energies: -0.36 eV/atom